Pm2Be4Pt3Au | GGA-PBE | optimized geometry

The space group is P-4m2 (No. 115) and the conventional cell measures 4.139, 4.139 and 9.496 Å, with angles of 90.00, 90.00 and 90.00 degrees. The asymmetric unit holds Pm at (0.000, 0.500, 0.245), Be at (0.000, 0.000, 0.000), Be at (0.000, 0.500, 0.628), Be at (0.500, 0.500, 0.000), Pt at (0.000, 0.500, 0.881), Pt at (0.500, 0.500, 0.500) and Au at (0.000, 0.000, 0.500).

Its total energy is -5.328 eV per atom. The calculated density is 11.32 Mg/m³. For the total magnetization, the calculation gives 0.00 μB/f.u. For the density of states at the Fermi level, the calculation gives 0.5496 states/eV/atom. The formation energy comes out at -0.7469 eV per atom.